Computed, not measured: a relaxed Th2AsP crystal at the GGA-PBE level of DFT.

It has space group R3m (No. 160, hexagonal axes), with a = 4.0902 Å, b = 4.0902 Å, c = 21.9884 Å, α = 90.00°, β = 90.00° and γ = 120.00°. The distinct sites, in fractional coordinates, are Th at (0.0000, 0.0000, 0.0000), Th at (0.0000, 0.0000, 0.1704), As at (0.0000, 0.0000, 0.5863) and P at (0.0000, 0.0000, 0.4176).

The crystal system is trigonal. For the energy of formation from the pure elements, the calculation gives -5.21 eV per formula unit. The density of states at the Fermi level is 0.40 states/eV per atom.

***

Computed, not measured: a relaxed Th2AsP crystal at the GGA-PBE level of DFT.

It has space group Pmmn (No. 59, origin choice 2), with a = 4.184 Å, b = 5.932 Å, c = 8.431 Å, α = 90.00°, β = 90.00° and γ = 90.00°. The distinct sites, in fractional coordinates, are Th at (0.250, 0.250, 0.117), Th at (0.250, 0.250, 0.634), As at (0.250, 0.750, 0.624) and P at (0.250, 0.750, 0.124).

The crystal system is orthorhombic. For the energy of formation from the pure elements, the calculation gives -5.87 eV per formula unit. The density of states at the Fermi level is 0.69 states/eV per atom.

***

Computed, not measured: a relaxed Th2AsP crystal at the GGA-PBE level of DFT.

It has space group R-3m (No. 166, hexagonal axes), with a = 4.1918 Å, b = 4.1918 Å, c = 20.6202 Å, α = 90.00°, β = 90.00° and γ = 120.00°. The distinct sites, in fractional coordinates, are Th at (0.0000, 0.0000, 0.2457), As at (0.0000, 0.0000, 0.0000) and P at (0.0000, 0.0000, 0.5000).

The crystal system is trigonal. For the energy of formation from the pure elements, the calculation gives -5.91 eV per formula unit. The density of states at the Fermi level is 0.55 states/eV per atom.

***

Computed, not measured: a relaxed TmThAsP crystal at the GGA-PBE level of DFT.

It has space group R3m (No. 160, hexagonal axes), with a = 4.0663 Å, b = 4.0663 Å, c = 20.9074 Å, α = 90.00°, β = 90.00° and γ = 120.00°. The distinct sites, in fractional coordinates, are Tm at (0.0000, 0.0000, 0.0000), Th at (0.0000, 0.0000, 0.1791), As at (0.0000, 0.0000, 0.7542) and P at (0.0000, 0.0000, 0.5925).

The crystal system is trigonal. For the energy of formation from the pure elements, the calculation gives -5.45 eV per formula unit. The density of states at the Fermi level is 0.65 states/eV per atom.

***

Computed, not measured: a relaxed YThAsP crystal at the GGA-PBE level of DFT.

It has space group P4/mmm (No. 123), with a = 4.129 Å, b = 4.129 Å, c = 5.892 Å, α = 90.00°, β = 90.00° and γ = 90.00°. The distinct sites, in fractional coordinates, are Y at (0.000, 0.000, 0.000), Th at (0.500, 0.500, 0.500), As at (0.500, 0.500, 0.000) and P at (0.000, 0.000, 0.500).

The crystal system is tetragonal. For the energy of formation from the pure elements, the calculation gives -6.17 eV per formula unit. The density of states at the Fermi level is 0.28 states/eV per atom.

***

Computed, not measured: a relaxed TiAsP3 crystal at the GGA-PBE level of DFT.

It has space group Pm-3m (No. 221), with a = 4.617 Å, b = 4.617 Å, c = 4.617 Å, α = 90.00°, β = 90.00° and γ = 90.00°. The distinct sites, in fractional coordinates, are Ti at (0.000, 0.000, 0.000), As at (0.500, 0.500, 0.500) and P at (0.000, 0.500, 0.500).

The calculation puts the energy above the most stable polymorph in this dataset at 357 meV/atom. The crystal system is cubic. For the energy of formation from the pure elements, the calculation gives 4.38 eV per formula unit. The density of states at the Fermi level is 0.72 states/eV per atom.

***

Computed, not measured: a relaxed Ti2AsP crystal at the GGA-PBE level of DFT.

It has space group P6_3/mmc (No. 194), with a = 3.5625 Å, b = 3.5625 Å, c = 12.0555 Å, α = 90.00°, β = 90.00° and γ = 120.00°. The distinct sites, in fractional coordinates, are Ti at (0.3333, 0.6667, 0.1250), As at (0.0000, 0.0000, 0.0000) and P at (0.3333, 0.6667, 0.7500).

The crystal system is hexagonal. For the energy of formation from the pure elements, the calculation gives -3.98 eV per formula unit. The density of states at the Fermi level is 0.70 states/eV per atom.

***

Computed, not measured: a relaxed Ti2AsP crystal at the GGA-PBE level of DFT.

It has space group P6_3/mmc (No. 194), with a = 3.5551 Å, b = 3.5551 Å, c = 11.9303 Å, α = 90.00°, β = 90.00° and γ = 120.00°. The distinct sites, in fractional coordinates, are Ti at (0.3333, 0.6667, 0.1109), As at (0.3333, 0.6667, 0.7500) and P at (0.0000, 0.0000, 0.0000).

The crystal system is hexagonal. For the energy of formation from the pure elements, the calculation gives -4.43 eV per formula unit. The density of states at the Fermi level is 0.37 states/eV per atom.

***

Computed, not measured: a relaxed Ti2As2P crystal at the GGA-PBE level of DFT.

It has space group P4/mbm (No. 127), with a = 6.818 Å, b = 6.818 Å, c = 3.542 Å, α = 90.00°, β = 90.00° and γ = 90.00°. The distinct sites, in fractional coordinates, are Ti at (0.160, 0.340, 0.000), As at (0.140, 0.640, 0.500) and P at (0.000, 0.000, 0.000).

The crystal system is tetragonal. For the energy of formation from the pure elements, the calculation gives -3.15 eV per formula unit. The density of states at the Fermi level is 0.69 states/eV per atom.

***

Computed, not measured: a relaxed Ti4AsP2 crystal at the GGA-PBE level of DFT.

It has space group Cmcm (No. 63), with a = 3.567 Å, b = 11.264 Å, c = 11.454 Å, α = 90.00°, β = 90.00° and γ = 90.00°. The distinct sites, in fractional coordinates, are Ti at (0.000, 0.000, 0.000), Ti at (0.000, 0.267, 0.121), Ti at (0.000, 0.447, 0.750), As at (0.000, 0.109, 0.750) and P at (0.000, 0.365, 0.561).

The crystal system is orthorhombic. For the energy of formation from the pure elements, the calculation gives -6.69 eV per formula unit. The density of states at the Fermi level is 0.67 states/eV per atom.

***

Computed, not measured: a relaxed Ti2AsP crystal at the GGA-PBE level of DFT.

It has space group I-42d (No. 122), with a = 5.659 Å, b = 5.659 Å, c = 11.281 Å, α = 90.00°, β = 90.00° and γ = 90.00°. The distinct sites, in fractional coordinates, are Ti at (0.235, 0.250, 0.125), As at (0.000, 0.000, 0.500) and P at (0.000, 0.000, 0.000).

The crystal system is tetragonal. For the energy of formation from the pure elements, the calculation gives -1.55 eV per formula unit. The density of states at the Fermi level is 0.98 states/eV per atom.

***

Computed, not measured: a relaxed Ti2AsP crystal at the GGA-PBE level of DFT.

It has space group R3m (No. 160, hexagonal axes), with a = 3.5317 Å, b = 3.5317 Å, c = 18.2082 Å, α = 90.00°, β = 90.00° and γ = 120.00°. The distinct sites, in fractional coordinates, are Ti at (0.0000, 0.0000, 0.0000), Ti at (0.0000, 0.0000, 0.1851), As at (0.0000, 0.0000, 0.4248) and P at (0.0000, 0.0000, 0.5932).

The crystal system is trigonal. For the energy of formation from the pure elements, the calculation gives -4.17 eV per formula unit. The density of states at the Fermi level is 0.35 states/eV per atom.